1.
First-principles (GGA-PBE) data for an optimized crystal structure of Ba3Hg, as listed in Alexandria via LeMat-Bulk.

Cell lengths 4.369, 6.518, 13.968 Å; angles 90.00, 90.00, 90.00 degrees
Space group Immm (No. 71)
Unique sites:
Ba  0.000  0.000  0.000 [2 per cell]
Ba  0.000  0.500  0.195 [4 per cell]
Hg  0.000  0.000  0.500 [2 per cell]

Results
Total moment (μB per atom): 0.001
Energy (eV/atom): -1.741
Energy of formation from the pure elements (meV per atom): -224
N(E_F) (states/eV per cell): 11.6
Energy above the most stable polymorph in this dataset (kJ/mol of atoms): 3.7

=====

2.
First-principles (GGA-PBE) data for an optimized crystal structure of Ac12Cd3P5, as listed in Alexandria via LeMat-Bulk.

Cell lengths 18.619, 18.619, 18.619 Å; angles 90.00, 90.00, 90.00 degrees
Space group Ia-3d (No. 230)
Unique sites:
Ac  0.027  0.064  0.649 [96 per cell]
Cd  0.000  0.250  0.125 [24 per cell]
P  0.000  0.000  0.000 [16 per cell]
P  0.000  0.250  0.375 [24 per cell]

Results
Total moment (μB per atom): 0.000
Energy (eV/atom): -4.467
Energy of formation from the pure elements (meV per atom): -512
N(E_F) (states/eV per cell): 167.8

=====

3.
First-principles (GGA-PBE) data for an optimized crystal structure of Li2LaW, as listed in Alexandria via LeMat-Bulk.

Cell lengths 4.212, 4.212, 4.501 Å; angles 90.00, 90.00, 90.00 degrees
Space group P4/mmm (No. 123)
Unique sites:
Li  0.000  0.500  0.000 [2 per cell]
La  0.000  0.000  0.500 [1 per cell]
W  0.500  0.500  0.500 [1 per cell]

Results
Total moment (μB per atom): 0.000
Energy (eV/atom): -4.667
Energy of formation from the pure elements (meV per atom): 760
N(E_F) (states/eV per cell): 4.1
Energy above the most stable polymorph in this dataset (kJ/mol of atoms): 24.9

=====

4.
First-principles (GGA-PBE) data for an optimized crystal structure of CaCr2Tc, as listed in Alexandria via LeMat-Bulk.

Cell lengths 4.587, 4.587, 16.426 Å; angles 90.00, 90.00, 90.00 degrees
Space group I4_1/amd (No. 141, origin choice 2)
Unique sites:
Ca  0.000  0.250  0.375 [4 per cell]
Cr  0.000  0.000  0.000 [8 per cell]
Tc  0.000  0.250  0.875 [4 per cell]

Results
Total moment (μB per atom): 0.529
Energy (eV/atom): -6.830
Energy of formation from the pure elements (meV per atom): 1074
N(E_F) (states/eV per cell): 18.2
Energy above the most stable polymorph in this dataset (kJ/mol of atoms): 59.4

=====

5.
First-principles (GGA-PBE) data for an optimized crystal structure of Zr2W, as listed in Alexandria via LeMat-Bulk.

Cell lengths 11.054, 3.411, 6.820 Å; angles 90.00, 107.70, 90.00 degrees
Space group C2/m (No. 12)
Unique sites:
Zr  0.149  0.000  0.072 [4 per cell]
Zr  0.153  0.000  0.581 [4 per cell]
W  0.012  0.500  0.259 [4 per cell]

Results
Total moment (μB per atom): 0.000
Energy (eV/atom): -9.875
Energy of formation from the pure elements (meV per atom): 141
N(E_F) (states/eV per cell): 18.7
Energy above the most stable polymorph in this dataset (kJ/mol of atoms): 5.1

=====

6.
First-principles (GGA-PBE) data for an optimized crystal structure of PuTh2NiN5, as listed in Alexandria via LeMat-Bulk.

Cell lengths 3.486, 13.349, 10.575 Å; angles 90.00, 90.00, 90.00 degrees
Space group Cmc2_1 (No. 36)
Unique sites:
Pu  0.000  0.199  0.000 [4 per cell]
Th  0.000  0.101  0.674 [4 per cell]
Th  0.000  0.140  0.295 [4 per cell]
Ni  0.000  0.476  0.439 [4 per cell]
N  0.000  0.050  0.043 [4 per cell]
N  0.000  0.279  0.650 [4 per cell]
N  0.000  0.331  0.364 [4 per cell]
N  0.000  0.365  0.988 [4 per cell]
N  0.000  0.485  0.762 [4 per cell]

Results
Total moment (μB per atom): 0.369
Energy (eV/atom): -9.506
Uncorrected formation energy (kJ per mole of atoms): -96
N(E_F) (states/eV per cell): 27.1